VASP calculation (PBE) on crystalline Ba2CoSbN at its relaxed geometry.

Computed properties:
Final energy = -5.2266 eV/atom
Volume = 132.8 Å³/cell

Cell: 6.114 6.114 3.552 Å, 90.00 90.00 90.00°
Space group P4/mmm (No. 123)
Inequivalent atoms, fractional coordinates:
Ba  0.000  0.500  0.000 [2 per cell]
Co  0.000  0.000  0.500 [1 per cell]
Sb  0.500  0.500  0.500 [1 per cell]
N  0.000  0.000  0.000 [1 per cell]


VASP calculation (PBE) on crystalline BaCoSe2N at its relaxed geometry.

Computed properties:
Final energy = -5.2248 eV/atom
Polymorph energy (0 for the lowest one) = 0.000 eV per atom
Volume = 102.7 Å³/cell

Cell: 5.387 5.387 3.538 Å, 90.00 90.00 90.00°
Space group P4/mmm (No. 123)
Inequivalent atoms, fractional coordinates:
Ba  0.000  0.000  0.000 [1 per cell]
Co  0.500  0.500  0.500 [1 per cell]
Se  0.000  0.500  0.500 [2 per cell]
N  0.500  0.500  0.000 [1 per cell]


VASP calculation (PBE) on crystalline BaCoSe2N at its relaxed geometry.

Computed properties:
Final energy = -3.4037 eV/atom
Polymorph energy (0 for the lowest one) = 1.821 eV per atom
Volume = 188.8 Å³/cell

Cell: 6.076 6.076 5.116 Å, 90.00 90.00 90.00°
Space group P4/mmm (No. 123)
Inequivalent atoms, fractional coordinates:
Ba  0.000  0.000  0.000 [1 per cell]
Co  0.500  0.500  0.500 [1 per cell]
Se  0.000  0.500  0.000 [2 per cell]
N  0.000  0.000  0.500 [1 per cell]


VASP calculation (PBE) on crystalline BaCoSeN2 at its relaxed geometry.

Computed properties:
Final energy = -3.7937 eV/atom
Polymorph energy (0 for the lowest one) = 1.563 eV per atom
Volume = 136.6 Å³/cell

Cell: 4.526 4.526 6.669 Å, 90.00 90.00 90.00°
Space group P4/mmm (No. 123)
Inequivalent atoms, fractional coordinates:
Ba  0.000  0.000  0.000 [1 per cell]
Co  0.500  0.500  0.500 [1 per cell]
Se  0.000  0.000  0.500 [1 per cell]
N  0.000  0.500  0.000 [2 per cell]


VASP calculation (PBE) on crystalline BaCoSeN2 at its relaxed geometry.

Computed properties:
Final energy = -5.3563 eV/atom
Polymorph energy (0 for the lowest one) = 0.000 eV per atom
Volume = 86.7 Å³/cell

Cell: 4.194 4.194 4.925 Å, 90.00 90.00 90.00°
Space group P4/mmm (No. 123)
Inequivalent atoms, fractional coordinates:
Ba  0.000  0.000  0.000 [1 per cell]
Co  0.500  0.500  0.500 [1 per cell]
Se  0.500  0.500  0.000 [1 per cell]
N  0.000  0.500  0.500 [2 per cell]


VASP calculation (PBE) on crystalline BaCoSi2N at its relaxed geometry.

Computed properties:
Final energy = -2.6619 eV/atom
Volume = 174.9 Å³/cell

Cell: 5.917 5.917 4.994 Å, 90.00 90.00 90.00°
Space group P4/mmm (No. 123)
Inequivalent atoms, fractional coordinates:
Ba  0.000  0.000  0.000 [1 per cell]
Co  0.000  0.000  0.500 [1 per cell]
Si  0.000  0.500  0.000 [2 per cell]
N  0.500  0.500  0.500 [1 per cell]


VASP calculation (PBE) on crystalline BaSmCoN2 at its relaxed geometry.

Computed properties:
Final energy = -6.6641 eV/atom
Volume = 203.4 Å³/cell

Cell: 6.146 4.790 7.017 Å, 90.00 100.00 90.00°
Space group P2/c (No. 13)
Inequivalent atoms, fractional coordinates:
Ba  0.000  0.127  0.250 [2 per cell]
Sm  0.500  0.481  0.750 [2 per cell]
Co  0.500  0.000  0.000 [2 per cell]
N  0.289  0.268  0.975 [4 per cell]


VASP calculation (PBE) on crystalline BaSrCoN2 at its relaxed geometry.

Computed properties:
Final energy = -4.0201 eV/atom
Polymorph energy (0 for the lowest one) = 1.759 eV per atom
Volume = 116.9 Å³/cell

Cell: 4.752 4.752 5.178 Å, 90.00 90.00 90.00°
Space group P4/mmm (No. 123)
Inequivalent atoms, fractional coordinates:
Ba  0.000  0.000  0.000 [1 per cell]
Sr  0.500  0.500  0.500 [1 per cell]
Co  0.000  0.000  0.500 [1 per cell]
N  0.000  0.500  0.000 [2 per cell]


VASP calculation (PBE) on crystalline BaSrCoN2 at its relaxed geometry.

Computed properties:
Final energy = -5.7789 eV/atom
Polymorph energy (0 for the lowest one) = 0.000 eV per atom
Volume = 230.5 Å³/cell

Cell: 5.892 5.287 7.401 Å, 90.00 90.57 90.00°
Space group P2/c (No. 13)
Inequivalent atoms, fractional coordinates:
Ba  0.000  0.007  0.250 [2 per cell]
Sr  0.500  0.498  0.750 [2 per cell]
Co  0.500  0.000  0.000 [2 per cell]
N  0.289  0.229  0.999 [4 per cell]


VASP calculation (PBE) on crystalline BaCoTe2N at its relaxed geometry.

Computed properties:
Final energy = -3.1857 eV/atom
Polymorph energy (0 for the lowest one) = 1.760 eV per atom
Volume = 187.2 Å³/cell

Cell: 6.567 6.567 4.340 Å, 90.00 90.00 90.00°
Space group P4/mmm (No. 123)
Inequivalent atoms, fractional coordinates:
Ba  0.000  0.000  0.000 [1 per cell]
Co  0.500  0.500  0.500 [1 per cell]
Te  0.000  0.500  0.000 [2 per cell]
N  0.000  0.000  0.500 [1 per cell]


VASP calculation (PBE) on crystalline BaCoTe2N at its relaxed geometry.

Computed properties:
Final energy = -4.9458 eV/atom
Polymorph energy (0 for the lowest one) = 0.000 eV per atom
Volume = 120.4 Å³/cell

Cell: 5.831 5.831 3.540 Å, 90.00 90.00 90.00°
Space group P4/mmm (No. 123)
Inequivalent atoms, fractional coordinates:
Ba  0.000  0.000  0.000 [1 per cell]
Co  0.500  0.500  0.500 [1 per cell]
Te  0.000  0.500  0.500 [2 per cell]
N  0.500  0.500  0.000 [1 per cell]


VASP calculation (PBE) on crystalline BaThCoN2 at its relaxed geometry.

Computed properties:
Final energy = -7.2508 eV/atom
Volume = 201.6 Å³/cell

Cell: 6.339 4.524 7.246 Å, 90.00 104.00 90.00°
Space group P2/c (No. 13)
Inequivalent atoms, fractional coordinates:
Ba  0.000  0.156  0.250 [2 per cell]
Th  0.500  0.472  0.750 [2 per cell]
Co  0.500  0.000  0.000 [2 per cell]
N  0.283  0.294  0.964 [4 per cell]